Entry from the Alexandria database: NpGa2CuPt4 after structural relaxation (GGA-PBE).

Cell lengths 8.8823, 8.8823, 8.8823 Å; angles 27.89, 27.89, 27.89 degrees
Positions (direct):
Np 0.0000 0.0000 0.0000
Ga 0.2387 0.2387 0.2387
Ga 0.7613 0.7613 0.7613
Cu 0.5000 0.5000 0.5000
Pt 0.1315 0.1315 0.1315
Pt 0.3977 0.3977 0.3977
Pt 0.6023 0.6023 0.6023
Pt 0.8685 0.8685 0.8685

Summary:
energy relative to the elements	-0.518	eV/atom
DFT total energy	-0.236	Ha/atom
space-group type	No. 166
V	16.93	A^3/atom